Below is a relaxed structure of Ac6Ge2I3N, with properties calculated at the GGA-PBE level.

```
12
Lattice="-3.479 -2.965 -6.057 7.574 -0.125 0.447 -1.707 -6.340 5.669" Properties=species:S:1:pos:R:3 pbc="T T T"
Ac 0.150 -8.005 -0.796
Ac 2.787 -3.568 -3.179
Ac 2.238 -1.425 0.856
Ac 3.514 -7.141 1.183
Ac -0.399 -5.862 3.238
Ac -1.126 -2.290 -1.124
Ge 3.877 -1.075 -1.728
Ge 0.218 -2.015 -3.881
I 4.778 -3.794 2.139
I -2.390 -5.636 -2.080
I 1.194 -4.715 0.030
N 0.000 0.000 0.000
```

Total magnetic moment in μB per atom: 0.000
Calculated volume in A^3/atom: 34.53
Raw formation energy in kJ/mol of formula units: -1161